Entry 1:
A plane-wave DFT calculation with PBE was carried out for an optimized crystal structure of KNa2GaO.

Lattice parameters (Å, degrees): 5.958 5.925 5.958 90.00 90.00 90.00
Fractional positions:
Na  0.500  0.000  0.000
Na  0.000  0.000  0.500
O  0.500  0.500  0.500
Ga  0.000  0.500  0.000
K  0.000  0.000  0.000

Computed properties:
**Crystal system**: tetragonal
**Volume**: 42.1 Å³/atom
**Spin magnetization**: 0.0 μB per cell
**Electronic total energy**: -1.40 eV per atom
**ΔE to the lowest computed polymorph**: 46.0 kJ per mole of atoms

---

Entry 2:
A plane-wave DFT calculation with PBE was carried out for an optimized crystal structure of KNa2Ga3Si3O12.

Lattice parameters (Å, degrees): 8.391 8.886 15.541 89.92 90.00 90.00
Fractional positions:
Na  0.468  0.230  0.909
Na  0.530  0.226  0.563
Na  0.470  0.774  0.437
Na  0.532  0.770  0.091
Na  0.968  0.270  0.591
Na  0.970  0.726  0.063
Na  0.030  0.274  0.937
Na  0.032  0.730  0.409
O  0.768  0.939  0.693
O  0.157  0.438  0.661
O  0.268  0.561  0.807
O  0.843  0.231  0.050
O  0.657  0.062  0.839
O  0.994  0.835  0.551
O  0.769  0.558  0.011
O  0.265  0.056  0.977
O  0.508  0.918  0.309
O  0.235  0.556  0.477
O  0.765  0.444  0.523
O  0.732  0.439  0.193
O  0.008  0.582  0.191
O  0.509  0.508  0.392
O  0.241  0.760  0.294
O  0.492  0.082  0.691
O  0.741  0.740  0.206
O  0.231  0.442  0.989
O  0.267  0.761  0.627
O  0.232  0.432  0.318
O  0.657  0.731  0.550
O  0.259  0.260  0.794
O  0.233  0.261  0.127
O  0.735  0.944  0.023
O  0.006  0.165  0.449
O  0.991  0.008  0.892
O  0.343  0.938  0.161
O  0.759  0.240  0.706
O  0.733  0.239  0.373
O  0.506  0.335  0.051
O  0.732  0.068  0.182
O  0.346  0.544  0.142
O  0.154  0.044  0.642
O  0.268  0.932  0.818
O  0.494  0.665  0.949
O  0.157  0.769  0.950
O  0.269  0.942  0.489
O  0.491  0.492  0.608
O  0.992  0.418  0.809
O  0.654  0.456  0.858
O  0.731  0.058  0.511
O  0.843  0.562  0.339
O  0.846  0.956  0.358
O  0.009  0.992  0.108
O  0.343  0.269  0.450
O  0.767  0.739  0.873
O  0.232  0.061  0.307
O  0.768  0.568  0.682
Ga  0.213  0.108  0.423
Ga  0.215  0.061  0.093
Ga  0.714  0.919  0.265
Ga  0.214  0.581  0.235
Ga  0.715  0.439  0.407
Ga  0.785  0.939  0.907
Ga  0.787  0.892  0.577
Ga  0.286  0.081  0.735
Ga  0.786  0.419  0.765
Ga  0.287  0.608  0.923
Ga  0.713  0.392  0.077
Ga  0.285  0.561  0.593
K  0.004  0.751  0.751
K  0.496  0.251  0.251
K  0.504  0.749  0.749
K  0.996  0.249  0.249
Si  0.672  0.602  0.923
Si  0.329  0.441  0.410
Si  0.171  0.417  0.766
Si  0.172  0.898  0.577
Si  0.328  0.398  0.077
Si  0.829  0.583  0.234
Si  0.171  0.941  0.910
Si  0.828  0.102  0.423
Si  0.671  0.559  0.590
Si  0.329  0.917  0.266
Si  0.671  0.083  0.734
Si  0.829  0.059  0.090

Computed properties:
**Crystal system**: monoclinic
**Volume**: 13.8 Å³/atom
**Spin magnetization**: 0.0 μB per cell
**Electronic total energy**: -6.55 eV per atom

---

Entry 3:
A plane-wave DFT calculation with PBE was carried out for an optimized crystal structure of KNa2GaPb.

Lattice parameters (Å, degrees): 5.756 5.756 5.625 90.00 90.00 90.00
Fractional positions:
K  0.500  0.500  0.500
Ga  0.000  0.000  0.000
Na  0.000  0.500  0.000
Na  0.500  0.000  0.000
Pb  0.000  0.000  0.500

Computed properties:
**Crystal system**: tetragonal
**Volume**: 37.3 Å³/atom
**Spin magnetization**: 0.0 μB per cell
**ΔH_f (0 K)**: -0.0058 eV/atom
**Electronic total energy**: -2.10 eV per atom